DFT (PBE) results for a relaxed structure of Y2ThSc2.

Cell lengths 8.8308, 8.8308, 8.8308 Å; angles 151.82, 151.82, 40.27 degrees
Closest atoms and distances in Å follow each position.
Fractional positions:
Y 0.0000 0.0000 0.0000  1 Y 3.21, 4 Sc 3.43
Y 0.1933 0.1933 0.0000  1 Y 3.21, 4 Sc 3.23, 4 Th 3.26
Th 0.6222 0.6222 0.0000  4 Y 3.26
Sc 0.3390 0.8390 0.5000  4 Sc 3.04, 2 Y 3.23
Sc 0.8390 0.3390 0.5000  4 Sc 3.04, 2 Y 3.23

Values from the calculation:
Energy: -6.20 eV/atom
Calculated formation energy: 2.0 eV/f.u.
Energy above the most stable polymorph in this dataset: 0.000 eV/atom